! CoMo3F | Alexandria | PBE+U | relaxed; values from VASP
&SYSTEM
  ibrav = 0, nat = 5, ntyp = 3
/
ATOMIC_SPECIES
Mo 95.94 Mo.upf
Co 58.93 Co.upf
F 19.00 F.upf
CELL_PARAMETERS angstrom
-1.522 3.094 3.607
-4.645 -0.168 -1.816
-1.005 -3.912 2.931
ATOMIC_POSITIONS crystal
Mo 0.000 0.500 0.000
Mo 0.500 0.000 0.000
Co 0.000 0.000 0.000
Mo 0.000 0.000 0.500
F 0.500 0.500 0.500
! - Density of states at the Fermi level: 0.659 states/eV per atom
! - E: -4.105 eV per atom